A relaxed structure of GeTe3Au. Source: Alexandria via LeMat-Bulk, functional GGA-PBE.

a b c (Å): 7.5285 7.5285 10.9965
angles (deg): 97.37 97.37 31.61
Closest atoms and distances in Å follow each position.
Fractional coordinates of all 10 atoms:
Ge 0.0766 0.0766 0.2763  4 Te 2.68-2.76
Ge 0.9234 0.9234 0.7237  4 Te 2.68-2.76
Te 0.1087 0.1087 0.7178  1 Ge 2.69, 2 Au 2.72
Te 0.1404 0.1404 0.0507  1 Ge 2.76, 2 Au 2.76
Te 0.3533 0.3533 0.5845  2 Ge 2.68
Te 0.6467 0.6467 0.4155  2 Ge 2.68
Te 0.8596 0.8596 0.9493  1 Ge 2.76, 2 Au 2.76
Te 0.8913 0.8913 0.2822  1 Ge 2.69, 2 Au 2.72
Au 0.3654 0.3654 0.1182  4 Te 2.72-2.76
Au 0.6346 0.6346 0.8818  4 Te 2.72-2.76

Results
ΔE_f (raw): -0.14 eV/f.u.
Energy above the most stable polymorph in this dataset: 0.000 eV per atom
D(E_F): 0.319 states/eV per atom
Magnetic moment: 0.0 μB per formula unit